The following is a PBE+U calculation of a geometry-optimized AlFeO3 structure, from the Alexandria database.

Values from the calculation:
Volume, A^3/atom: 9.74
Total energy, eV per atom: -6.77
Density of states at the Fermi level, states/eV/cell: 1.40

a b c (Å): 4.922 8.118 4.873
angles (deg): 90.00 90.00 90.00
Space group Pnma (No. 62)
One atom of each set of equivalent atoms:
Al 0.002 0.250 0.016 x4
Fe 0.000 0.000 0.500 x4
O 0.152 0.750 0.646 x4
O 0.172 0.584 0.163 x8